{"formula": "ZnRu2W", "functional": "PBE", "state": "optimized geometry", "rho_g_cm3": 12.734, "delta_e_f_ev_per_atom": 0.168, "dft_energy_ev_per_atom": -8.03, "sg": "R3m, No. 160", "n_ef_per_ev_atom": 1.487, "lattice": [[9.043, -0.006, -0.003], [8.623, 2.725, -0.003], [8.623, 1.327, 2.380]], "species": ["Ru", "Ru", "Zn", "W"], "fractional_positions": [[0.252, 0.252, 0.252], [0.999, 0.999, 0.999], [0.747, 0.747, 0.747], [0.502, 0.502, 0.502]]}